VASP calculation (PBEsol) on a relaxed structure of ZrFeOs2.

Cell and atoms, written as extended XYZ:
```
4
Lattice="0.000 3.103 3.103 3.103 0.000 3.103 3.103 3.103 0.000" Properties=species:S:1:pos:R:3 pbc="T T T"
Zr 0.000 0.000 0.000
Fe 4.654 4.654 4.654
Os 1.551 1.551 1.551
Os 3.103 3.103 3.103
```

- Magnetization: 2.79 μB per formula unit
- Calculated volume: 59.75 Å³/cell
- SG: F-43m, No. 216
- Formation energy: 145 meV per atom
- E: -10.4763 eV per atom


VASP calculation (PBEsol) on a relaxed structure of LiZr2Pb.

Cell and atoms, written as extended XYZ:
```
4
Lattice="3.338 0.000 0.000 0.000 4.155 0.000 0.000 0.000 5.965" Properties=species:S:1:pos:R:3 pbc="T T T"
Li 0.000 0.000 0.000
Zr 1.669 2.078 1.436
Zr 1.669 2.078 4.529
Pb 0.000 0.000 2.982
```

- Magnetization: 0.00 μB per formula unit
- Calculated volume: 82.75 Å³/cell
- SG: Pmmm, No. 47
- Formation energy: -31 meV per atom
- E: -6.0670 eV per atom


VASP calculation (PBEsol) on a relaxed structure of CsZnSb2I.

Cell and atoms, written as extended XYZ:
```
5
Lattice="7.913 0.000 0.000 0.000 7.913 0.000 0.000 0.000 6.922" Properties=species:S:1:pos:R:3 pbc="T T T"
Cs 0.000 0.000 0.000
Zn 3.957 3.957 3.461
Sb 0.000 3.957 0.000
Sb 3.957 0.000 0.000
I 0.000 0.000 3.461
```

- Magnetization: 5.95 μB per formula unit
- ΔE_f (raw): 5.4 eV/f.u.
- Calculated volume: 433.44 Å³/cell
- SG: P4/mmm, No. 123
- E: -1.6045 eV per atom